{"formula": "PrGePd", "functional": "meta-GGA SCAN", "state": "PBEsol geometry", "ef_mev_per_atom": -1027, "dft_energy_ev_per_atom": -32.757, "spacegroup": "Pnma", "lattice_angstrom": [[4.451, 0.000, 0.000], [0.000, 7.278, 0.000], [0.000, 0.000, 7.595]], "species": ["Pr", "Pr", "Pr", "Pr", "Pd", "Pd", "Pd", "Pd", "Ge", "Ge", "Ge", "Ge"], "fractional_positions": [[0.250, 0.496, 0.703], [0.750, 0.504, 0.297], [0.750, 0.004, 0.203], [0.250, 0.996, 0.797], [0.750, 0.306, 0.917], [0.750, 0.806, 0.583], [0.250, 0.694, 0.083], [0.250, 0.194, 0.417], [0.250, 0.808, 0.412], [0.750, 0.692, 0.912], [0.250, 0.308, 0.088], [0.750, 0.192, 0.588]]}

{"formula": "GePdPt", "functional": "meta-GGA SCAN", "state": "PBEsol geometry", "ef_mev_per_atom": -547, "dft_energy_ev_per_atom": -41.232, "spacegroup": "P6_3mc", "lattice_angstrom": [[-2.834, -1.729, -2.402], [1.023, -1.761, 3.555], [-4.593, 3.372, 2.992]], "species": ["Pd", "Pd", "Ge", "Ge", "Pt", "Pt"], "fractional_positions": [[0.000, 0.000, 0.459], [0.000, 0.000, 0.959], [0.333, 0.667, 0.807], [0.667, 0.333, 0.307], [0.667, 0.333, 0.698], [0.333, 0.667, 0.198]]}

{"formula": "RbSiGe2Pd", "functional": "meta-GGA SCAN", "state": "PBEsol geometry", "dft_energy_ev_per_atom": -19.957, "spacegroup": "P4/mmm", "lattice_angstrom": [[-4.736, -0.454, -0.151], [0.160, 0.005, -5.016], [0.478, -4.995, 0.010]], "species": ["Rb", "Ge", "Ge", "Si", "Pd"], "fractional_positions": [[0.500, 0.500, 0.500], [0.000, 0.000, 0.500], [0.000, 0.500, 0.000], [0.500, 0.000, 0.000], [0.000, 0.000, 0.000]]}

Q: Which formula does entry 1 have?
A: PrGePd

Q: What is the formula in the first record?
A: PrGePd